1.
{"formula": "YHgGe2I", "functional": "meta-GGA SCAN", "state": "single point on PBEsol structure", "cell": [[-0.226, -3.166, 4.310], [-0.995, -4.214, -3.147], [5.274, -0.937, -0.412]], "species": ["I", "Y", "Ge", "Ge", "Hg"], "fractional_positions": [[0.000, 0.000, 0.000], [0.500, 0.500, 0.500], [0.000, 0.500, 0.000], [0.500, 0.000, 0.000], [0.000, 0.000, 0.500]], "formation_energy_uncorrected_mev_per_atom": 832, "dos_ef_per_ev_atom": 0.523}

2.
{"formula": "KCa2Os", "functional": "meta-GGA SCAN", "state": "single point on PBEsol structure", "cell": [[-2.314, -3.904, 2.598], [1.145, -4.965, -1.178], [2.765, -2.911, 3.351]], "species": ["Ca", "Ca", "K", "Os"], "fractional_positions": [[0.000, 0.000, 0.000], [0.750, 0.750, 0.750], [0.500, 0.500, 0.500], [0.250, 0.250, 0.250]], "delta_e_f_ev_per_atom": 0.980, "polymorph_energy_kj_per_mol_fu": 112, "dos_ef_per_ev_atom": 0.895}

3.
{"formula": "Be2CoAu", "functional": "meta-GGA SCAN", "state": "single point on PBEsol structure", "cell": [[-0.314, 0.999, 2.761], [-2.793, -2.444, 0.566], [2.476, -2.551, 1.204]], "species": ["Au", "Co", "Be", "Be"], "fractional_positions": [[0.500, 0.000, 0.000], [0.500, 0.500, 0.500], [0.000, 0.000, 0.500], [0.000, 0.500, 0.000]], "delta_e_f_ev_per_atom": -0.311, "dos_ef_per_ev_atom": 0.230}

4.
{"formula": "NaLiY2F8", "functional": "meta-GGA SCAN", "state": "single point on PBEsol structure", "cell": [[6.638, 0.012, 0.000], [-1.514, 6.463, 0.000], [0.000, 0.000, 6.997]], "species": ["F", "F", "F", "F", "F", "F", "F", "F", "F", "F", "F", "F", "F", "F", "F", "F", "Li", "Li", "Na", "Na", "Y", "Y", "Y", "Y"], "fractional_positions": [[0.913, 0.913, 0.250], [0.087, 0.087, 0.750], [0.608, 0.608, 0.250], [0.392, 0.392, 0.750], [0.690, 0.254, 0.250], [0.310, 0.746, 0.750], [0.254, 0.690, 0.250], [0.746, 0.310, 0.750], [0.337, 0.063, 0.051], [0.663, 0.937, 0.551], [0.663, 0.937, 0.949], [0.337, 0.063, 0.449], [0.063, 0.337, 0.051], [0.937, 0.663, 0.551], [0.937, 0.663, 0.949], [0.063, 0.337, 0.449], [0.000, 0.000, 0.000], [0.000, 0.000, 0.500], [0.341, 0.341, 0.250], [0.659, 0.659, 0.750], [0.923, 0.549, 0.250], [0.077, 0.451, 0.750], [0.451, 0.077, 0.750], [0.549, 0.923, 0.250]], "formation_energy_uncorrected_mev_per_atom": -3997, "dos_ef_per_ev_atom": 0.000}

5.
{"formula": "Mg3ZnCu2", "functional": "meta-GGA SCAN", "state": "single point on PBEsol structure", "cell": [[5.041, 0.000, 0.000], [0.000, 6.248, 0.001], [0.000, -0.078, 6.248]], "species": ["Cu", "Cu", "Cu", "Cu", "Mg", "Mg", "Mg", "Mg", "Mg", "Mg", "Zn", "Zn"], "fractional_positions": [[0.000, 0.741, 0.741], [0.500, 0.259, 0.259], [0.000, 0.259, 0.259], [0.500, 0.741, 0.741], [0.750, 0.906, 0.094], [0.250, 0.094, 0.906], [0.750, 0.414, 0.918], [0.250, 0.586, 0.082], [0.750, 0.082, 0.586], [0.250, 0.918, 0.414], [0.750, 0.569, 0.431], [0.250, 0.431, 0.569]], "delta_e_f_ev_per_atom": -0.127, "dos_ef_per_ev_atom": 0.304}

6.
{"formula": "LaAlO3", "functional": "meta-GGA SCAN", "state": "single point on PBEsol structure", "cell": [[-1.642, -6.480, 2.138], [6.709, 1.667, -1.314], [1.176, 2.895, 9.678]], "species": ["La", "La", "La", "La", "La", "La", "Al", "Al", "Al", "Al", "Al", "Al", "O", "O", "O", "O", "O", "O", "O", "O", "O", "O", "O", "O", "O", "O", "O", "O", "O", "O"], "fractional_positions": [[0.171, 0.341, 0.500], [0.171, 0.341, 0.000], [0.829, 0.659, 0.500], [0.829, 0.659, 0.000], [0.500, 0.000, 0.000], [0.500, 0.000, 0.500], [0.834, 0.259, 0.250], [0.425, 0.259, 0.750], [0.575, 0.741, 0.250], [0.166, 0.741, 0.750], [0.904, 0.000, 0.750], [0.096, 0.000, 0.250], [0.164, 0.243, 0.750], [0.079, 0.243, 0.250], [0.834, 0.354, 0.408], [0.834, 0.354, 0.092], [0.520, 0.354, 0.592], [0.520, 0.354, 0.908], [0.480, 0.646, 0.408], [0.480, 0.646, 0.092], [0.166, 0.646, 0.592], [0.166, 0.646, 0.908], [0.836, 0.757, 0.250], [0.921, 0.757, 0.750], [0.410, 0.000, 0.750], [0.812, 0.000, 0.589], [0.812, 0.000, 0.911], [0.188, 0.000, 0.089], [0.188, 0.000, 0.411], [0.590, 0.000, 0.250]], "formation_energy_uncorrected_mev_per_atom": -3624, "dos_ef_per_ev_atom": 0.000}

7.
{"formula": "TaFe2Se", "functional": "meta-GGA SCAN", "state": "single point on PBEsol structure", "cell": [[3.105, 0.000, 0.000], [0.000, 4.175, 0.000], [0.000, 0.000, 4.216]], "species": ["Fe", "Fe", "Se", "Ta"], "fractional_positions": [[0.000, 0.000, 0.000], [0.500, 0.500, 0.000], [0.500, 0.000, 0.500], [0.000, 0.500, 0.500]], "formation_energy_uncorrected_mev_per_atom": 134, "dos_ef_per_ev_atom": 0.530}

8.
{"formula": "PrAlPt", "functional": "meta-GGA SCAN", "state": "single point on PBEsol structure", "cell": [[4.455, 0.000, 0.000], [0.000, 7.155, 0.000], [0.000, 0.000, 7.781]], "species": ["Pr", "Pr", "Pr", "Pr", "Al", "Al", "Al", "Al", "Pt", "Pt", "Pt", "Pt"], "fractional_positions": [[0.750, 0.471, 0.819], [0.750, 0.971, 0.681], [0.250, 0.029, 0.319], [0.250, 0.529, 0.181], [0.750, 0.854, 0.068], [0.250, 0.646, 0.568], [0.750, 0.354, 0.432], [0.250, 0.146, 0.932], [0.750, 0.215, 0.111], [0.750, 0.715, 0.389], [0.250, 0.285, 0.611], [0.250, 0.785, 0.889]], "delta_e_f_ev_per_atom": -1.260, "dos_ef_per_ev_atom": 0.530}

9.
{"formula": "Ag3HgOs", "functional": "meta-GGA SCAN", "state": "single point on PBEsol structure", "cell": [[-4.030, 0.809, -2.834], [-2.263, -3.925, 2.098], [-1.888, 2.978, 3.535]], "species": ["Os", "Hg", "Ag", "Ag", "Ag"], "fractional_positions": [[0.000, 0.000, 0.000], [0.500, 0.500, 0.500], [0.000, 0.500, 0.000], [0.000, 0.000, 0.500], [0.500, 0.000, 0.000]], "delta_e_f_ev_per_atom": 1.448, "dos_ef_per_ev_atom": 0.520}

10.
{"formula": "Ba6Lu2Ga4O15", "functional": "meta-GGA SCAN", "state": "single point on PBEsol structure", "cell": [[5.913, 0.000, 0.000], [0.000, 7.866, -0.005], [0.000, -0.449, 18.289]], "species": ["Ba", "Ba", "Ba", "Ba", "Ba", "Ba", "Ba", "Ba", "Ba", "Ba", "Ba", "Ba", "Lu", "Lu", "Lu", "Lu", "Ga", "Ga", "Ga", "Ga", "Ga", "Ga", "Ga", "Ga", "O", "O", "O", "O", "O", "O", "O", "O", "O", "O", "O", "O", "O", "O", "O", "O", "O", "O", "O", "O", "O", "O", "O", "O", "O", "O", "O", "O", "O", "O"], "fractional_positions": [[0.247, 0.498, 0.422], [0.753, 0.502, 0.578], [0.247, 0.502, 0.078], [0.753, 0.498, 0.922], [0.251, 0.976, 0.411], [0.749, 0.024, 0.589], [0.251, 0.024, 0.089], [0.749, 0.976, 0.911], [0.278, 0.000, 0.750], [0.722, 0.000, 0.250], [0.324, 0.500, 0.750], [0.676, 0.500, 0.250], [0.251, 0.753, 0.589], [0.749, 0.247, 0.411], [0.251, 0.247, 0.911], [0.749, 0.753, 0.089], [0.254, 0.755, 0.942], [0.746, 0.245, 0.058], [0.254, 0.245, 0.558], [0.746, 0.755, 0.442], [0.230, 0.769, 0.232], [0.770, 0.231, 0.768], [0.230, 0.231, 0.268], [0.770, 0.769, 0.732], [0.812, 0.000, 0.750], [0.188, 0.000, 0.250], [0.487, 0.767, 0.500], [0.513, 0.233, 0.500], [0.487, 0.233, 0.000], [0.513, 0.767, 0.000], [0.234, 0.958, 0.893], [0.766, 0.042, 0.107], [0.234, 0.042, 0.607], [0.766, 0.958, 0.393], [0.990, 0.766, 0.508], [0.010, 0.234, 0.492], [0.990, 0.234, 0.992], [0.010, 0.766, 0.008], [0.660, 0.689, 0.817], [0.340, 0.311, 0.183], [0.660, 0.311, 0.683], [0.340, 0.689, 0.317], [0.539, 0.755, 0.663], [0.461, 0.245, 0.337], [0.539, 0.245, 0.837], [0.461, 0.755, 0.163], [0.037, 0.720, 0.686], [0.963, 0.280, 0.314], [0.037, 0.280, 0.814], [0.963, 0.720, 0.186], [0.247, 0.528, 0.911], [0.753, 0.472, 0.089], [0.247, 0.472, 0.589], [0.753, 0.528, 0.411]], "formation_energy_uncorrected_mev_per_atom": -2903, "dos_ef_per_ev_atom": 0.000}

11.
{"formula": "Mg2AlAg2", "functional": "meta-GGA SCAN", "state": "single point on PBEsol structure", "cell": [[3.798, 0.000, 0.000], [0.000, 7.005, 0.000], [0.000, 0.000, 7.005]], "species": ["Mg", "Mg", "Mg", "Mg", "Al", "Al", "Ag", "Ag", "Ag", "Ag"], "fractional_positions": [[0.500, 0.160, 0.660], [0.500, 0.660, 0.840], [0.500, 0.840, 0.340], [0.500, 0.340, 0.160], [0.000, 0.000, 0.000], [0.000, 0.500, 0.500], [0.000, 0.358, 0.858], [0.000, 0.858, 0.642], [0.000, 0.642, 0.142], [0.000, 0.142, 0.358]], "delta_e_f_ev_per_atom": -0.153, "dos_ef_per_ev_atom": 0.327}

12.
{"formula": "AlMoBr3", "functional": "meta-GGA SCAN", "state": "single point on PBEsol structure", "cell": [[-1.993, -0.951, -4.593], [-4.446, -1.208, 2.179], [-1.495, 4.859, -0.358]], "species": ["Mo", "Al", "Br", "Br", "Br"], "fractional_positions": [[0.500, 0.500, 0.500], [0.000, 0.000, 0.000], [0.000, 0.500, 0.000], [0.000, 0.000, 0.500], [0.500, 0.000, 0.000]], "formation_energy_uncorrected_mev_per_atom": 213, "dos_ef_per_ev_atom": 0.202}

13.
{"formula": "LaPb5", "functional": "meta-GGA SCAN", "state": "single point on PBEsol structure", "cell": [[-1.281, -4.190, -1.662], [2.027, 1.078, -4.282], [7.719, -2.470, 0.276]], "species": ["La", "Pb", "Pb", "Pb", "Pb", "Pb"], "fractional_positions": [[0.000, 0.500, 0.000], [0.500, 0.329, 0.342], [0.000, 0.163, 0.674], [0.500, 0.000, 0.000], [0.000, 0.837, 0.326], [0.500, 0.671, 0.658]], "delta_e_f_ev_per_atom": -0.330, "dos_ef_per_ev_atom": 0.638}

14.
{"formula": "Li2SiBSbO7", "functional": "meta-GGA SCAN", "state": "single point on PBEsol structure", "cell": [[5.107, 0.000, -0.025], [0.000, 6.403, 0.000], [-0.568, 0.000, 9.039]], "species": ["Li", "Li", "Li", "Li", "Si", "Si", "B", "B", "Sb", "Sb", "O", "O", "O", "O", "O", "O", "O", "O", "O", "O", "O", "O", "O", "O"], "fractional_positions": [[0.244, 0.484, 0.827], [0.244, 0.016, 0.827], [0.756, 0.516, 0.173], [0.756, 0.984, 0.173], [0.726, 0.750, 0.571], [0.274, 0.250, 0.429], [0.742, 0.250, 0.937], [0.258, 0.750, 0.063], [0.791, 0.250, 0.662], [0.209, 0.750, 0.338], [0.290, 0.750, 0.919], [0.983, 0.250, 0.867], [0.531, 0.250, 0.822], [0.815, 0.946, 0.676], [0.815, 0.554, 0.676], [0.145, 0.250, 0.589], [0.407, 0.750, 0.531], [0.593, 0.250, 0.469], [0.855, 0.750, 0.411], [0.185, 0.446, 0.324], [0.185, 0.054, 0.324], [0.469, 0.750, 0.178], [0.017, 0.750, 0.133], [0.710, 0.250, 0.081]], "formation_energy_uncorrected_mev_per_atom": -2300, "dos_ef_per_ev_atom": 0.000}

15.
{"formula": "NiRh2", "functional": "meta-GGA SCAN", "state": "single point on PBEsol structure", "cell": [[-1.227, 2.335, -0.248], [-0.485, -0.526, -2.551], [-9.284, -4.593, 2.711]], "species": ["Ni", "Ni", "Rh", "Rh", "Rh", "Rh"], "fractional_positions": [[0.500, 0.000, 0.927], [0.000, 0.500, 0.073], [0.500, 0.000, 0.235], [0.000, 0.500, 0.411], [0.500, 0.000, 0.589], [0.000, 0.500, 0.765]], "delta_e_f_ev_per_atom": 0.037, "polymorph_energy_kj_per_mol_fu": 0, "dos_ef_per_ev_atom": 1.086}

16.
{"formula": "TbCd20Ni2", "functional": "meta-GGA SCAN", "state": "single point on PBEsol structure", "cell": [[10.867, 0.000, 0.000], [5.434, 9.411, 0.000], [5.434, 3.137, 8.873]], "species": ["Tb", "Tb", "Cd", "Cd", "Cd", "Cd", "Cd", "Cd", "Cd", "Cd", "Cd", "Cd", "Cd", "Cd", "Cd", "Cd", "Cd", "Cd", "Cd", "Cd", "Cd", "Cd", "Cd", "Cd", "Cd", "Cd", "Cd", "Cd", "Cd", "Cd", "Cd", "Cd", "Cd", "Cd", "Cd", "Cd", "Cd", "Cd", "Cd", "Cd", "Cd", "Cd", "Ni", "Ni", "Ni", "Ni"], "fractional_positions": [[0.000, 0.000, 0.000], [0.250, 0.250, 0.250], [0.329, 0.801, 0.801], [0.801, 0.329, 0.069], [0.801, 0.069, 0.329], [0.069, 0.801, 0.801], [0.329, 0.069, 0.801], [0.801, 0.801, 0.329], [0.801, 0.801, 0.069], [0.069, 0.329, 0.801], [0.329, 0.801, 0.069], [0.801, 0.069, 0.801], [0.801, 0.329, 0.801], [0.069, 0.801, 0.329], [0.921, 0.449, 0.449], [0.449, 0.921, 0.181], [0.449, 0.181, 0.921], [0.181, 0.449, 0.449], [0.921, 0.181, 0.449], [0.449, 0.449, 0.921], [0.449, 0.449, 0.181], [0.181, 0.921, 0.449], [0.921, 0.449, 0.181], [0.449, 0.181, 0.449], [0.449, 0.921, 0.449], [0.181, 0.449, 0.921], [0.637, 0.637, 0.363], [0.363, 0.363, 0.637], [0.637, 0.363, 0.637], [0.363, 0.637, 0.363], [0.637, 0.363, 0.363], [0.363, 0.637, 0.637], [0.613, 0.613, 0.887], [0.887, 0.887, 0.613], [0.613, 0.887, 0.613], [0.887, 0.613, 0.887], [0.613, 0.887, 0.887], [0.887, 0.613, 0.613], [0.125, 0.125, 0.125], [0.125, 0.125, 0.625], [0.125, 0.625, 0.125], [0.625, 0.125, 0.125], [0.625, 0.625, 0.625], [0.625, 0.625, 0.125], [0.625, 0.125, 0.625], [0.125, 0.625, 0.625]], "delta_e_f_ev_per_atom": -0.102, "dos_ef_per_ev_atom": 0.279}

17.
{"formula": "RuPtW2", "functional": "meta-GGA SCAN", "state": "single point on PBEsol structure", "cell": [[-2.744, -0.272, 0.107], [-0.141, -0.317, -4.429], [0.487, -4.778, 0.326]], "species": ["Ru", "Pt", "W", "W"], "fractional_positions": [[0.500, 0.500, 0.199], [0.500, 0.000, 0.547], [0.000, 0.000, 0.048], [0.000, 0.500, 0.706]], "delta_e_f_ev_per_atom": -0.144, "polymorph_energy_kj_per_mol_fu": 32, "dos_ef_per_ev_atom": 0.728}

18.
{"formula": "ReNiP2C", "functional": "meta-GGA SCAN", "state": "single point on PBEsol structure", "cell": [[3.874, 0.000, 0.000], [0.000, 4.019, 0.000], [0.000, 0.000, 4.019]], "species": ["Re", "C", "P", "P", "Ni"], "fractional_positions": [[0.500, 0.000, 0.000], [0.000, 0.000, 0.000], [0.000, 0.000, 0.500], [0.000, 0.500, 0.000], [0.500, 0.500, 0.500]], "delta_e_f_ev_per_atom": 1.268, "dos_ef_per_ev_atom": 0.522}

19.
{"formula": "TlTeIr2", "functional": "meta-GGA SCAN", "state": "single point on PBEsol structure", "cell": [[-0.942, -2.590, -1.191], [2.744, -1.066, -3.634], [3.773, -4.676, 3.399]], "species": ["Ir", "Ir", "Te", "Tl"], "fractional_positions": [[0.192, 0.951, 0.666], [0.808, 0.049, 0.334], [0.000, 0.500, 0.500], [0.500, 0.000, 0.000]], "formation_energy_uncorrected_mev_per_atom": 405, "polymorph_energy_kj_per_mol_fu": 0, "dos_ef_per_ev_atom": 0.547}